Record 1
CaCd2Au, optimized geometry, DFT PBE; magnetization = 0.0 μB/cell; DFT total energy = -2.085 eV per atom; ΔH_f (0 K) = -29.69 kJ/mol of atoms; space-group type = P4/mmm
1.0
3.751 0.000 0.000
0.000 3.751 0.000
0.000 0.000 6.675
Ca Cd Au
1 2 1
Direct
0.000 0.000 0.000
0.500 0.500 0.281
0.500 0.500 0.719
0.000 0.000 0.500



Record 2
Ca4CdAu, optimized geometry, DFT PBE; magnetization = 0.9 μB/cell; DFT total energy = -2.460 eV per atom; ΔH_f (0 K) = -41.15 kJ/mol of atoms; space-group type = F-43m
1.0
0.000 7.224 7.224
7.224 0.000 7.224
7.224 7.224 0.000
Ca Cd Au
16 4 4
Direct
0.189 0.189 0.811
0.189 0.811 0.189
0.189 0.811 0.811
0.398 0.398 0.398
0.398 0.398 0.807
0.398 0.807 0.398
0.552 0.552 0.948
0.552 0.948 0.552
0.552 0.948 0.948
0.807 0.398 0.398
0.811 0.189 0.189
0.811 0.189 0.811
0.811 0.811 0.189
0.948 0.552 0.552
0.948 0.552 0.948
0.948 0.948 0.552
0.170 0.170 0.170
0.170 0.170 0.491
0.170 0.491 0.170
0.491 0.170 0.170
0.174 0.609 0.609
0.609 0.174 0.609
0.609 0.609 0.174
0.609 0.609 0.609



Record 3
Ca4CdAu2, optimized geometry, DFT PBE; magnetization = 0.0 μB/cell; DFT total energy = -2.723 eV per atom; ΔH_f (0 K) = -49.46 kJ/mol of atoms; space-group type = R-3m
1.0
2.482 1.433 10.034
-2.482 1.433 10.034
0.000 -2.866 10.034
Ca Cd Au
4 1 2
Direct
0.114 0.114 0.114
0.298 0.298 0.298
0.702 0.702 0.702
0.886 0.886 0.886
0.500 0.500 0.500
0.403 0.403 0.403
0.597 0.597 0.597



Record 4
CaCd2Au, optimized geometry, DFT PBE; magnetization = 0.0 μB/cell; DFT total energy = -2.121 eV per atom; ΔH_f (0 K) = -33.15 kJ/mol of atoms; space-group type = P2/m
1.0
3.641 0.000 0.000
0.000 4.927 0.000
-1.095 0.000 5.481
Ca Cd Au
1 2 1
Direct
0.000 0.000 0.000
0.380 0.500 0.733
0.620 0.500 0.267
0.500 0.000 0.500



Record 5
Ca4CdAu, optimized geometry, DFT PBE; magnetization = 0.0 μB/cell; DFT total energy = -2.350 eV per atom; ΔH_f (0 K) = -30.56 kJ/mol of atoms; space-group type = C2/m
1.0
3.714 -3.714 0.000
3.714 3.714 0.000
-0.009 0.000 7.454
Ca Cd Au
4 1 1
Direct
0.000 0.500 0.239
0.000 0.500 0.761
0.500 0.000 0.239
0.500 0.000 0.761
0.000 0.000 0.500
0.500 0.500 0.000



Record 6
CaCd6Au, optimized geometry, DFT PBE; magnetization = 0.0 μB/cell; DFT total energy = -1.527 eV per atom; ΔH_f (0 K) = -17.48 kJ/mol of atoms; space-group type = Amm2
1.0
4.823 0.000 0.000
0.000 3.011 6.479
0.000 -3.011 6.479
Ca Cd Au
1 6 1
Direct
0.000 0.000 0.000
0.000 0.493 0.970
0.000 0.970 0.493
0.500 0.121 0.637
0.500 0.164 0.164
0.500 0.590 0.590
0.500 0.637 0.121
0.000 0.434 0.434



Record 7
CaCd6Au4, optimized geometry, DFT PBE; magnetization = 0.0 μB/cell; DFT total energy = -2.165 eV per atom; ΔH_f (0 K) = -28.22 kJ/mol of atoms; space-group type = P-6m2
1.0
8.475 0.000 0.000
-4.237 7.339 0.000
0.000 0.000 4.013
Ca Cd Au
1 6 4
Direct
0.000 0.000 0.000
0.197 0.395 0.500
0.197 0.803 0.500
0.539 0.077 0.000
0.539 0.461 0.000
0.605 0.803 0.500
0.923 0.461 0.000
0.333 0.667 0.000
0.356 0.178 0.500
0.822 0.178 0.500
0.822 0.644 0.500



Record 8
CaCd6Au2, optimized geometry, DFT PBE; magnetization = 0.0 μB/cell; DFT total energy = -1.804 eV per atom; ΔH_f (0 K) = -23.44 kJ/mol of atoms; space-group type = P4/mmm
1.0
4.296 0.000 0.000
0.000 4.296 0.000
0.000 0.000 11.347
Ca Cd Au
1 6 2
Direct
0.000 0.000 0.000
0.000 0.000 0.500
0.000 0.500 0.287
0.000 0.500 0.713
0.500 0.000 0.287
0.500 0.000 0.713
0.500 0.500 0.500
0.500 0.500 0.118
0.500 0.500 0.882



Record 9
Ca5Cd2Au12, optimized geometry, DFT PBE; magnetization = 0.0 μB/cell; DFT total energy = -3.262 eV per atom; ΔH_f (0 K) = -54.93 kJ/mol of atoms; space-group type = C2/m
1.0
7.841 -3.772 0.000
7.841 3.772 0.000
-0.288 0.000 7.096
Ca Cd Au
5 2 12
Direct
0.000 0.000 0.000
0.246 0.246 0.937
0.307 0.307 0.459
0.693 0.693 0.541
0.754 0.754 0.063
0.281 0.719 0.500
0.719 0.281 0.500
0.036 0.665 0.748
0.119 0.119 0.607
0.194 0.592 0.146
0.335 0.964 0.252
0.408 0.806 0.854
0.443 0.443 0.810
0.557 0.557 0.190
0.592 0.194 0.146
0.665 0.036 0.748
0.806 0.408 0.854
0.881 0.881 0.393
0.964 0.335 0.252



Record 10
Ca3Cd4Au4, optimized geometry, DFT PBE; magnetization = 0.0 μB/cell; DFT total energy = -2.619 eV per atom; ΔH_f (0 K) = -52.90 kJ/mol of atoms; space-group type = Immm
1.0
-2.104 4.104 7.716
2.104 -4.104 7.716
2.104 4.104 -7.716
Ca Cd Au
3 4 4
Direct
0.000 0.000 0.000
0.380 0.880 0.500
0.620 0.120 0.500
0.028 0.331 0.697
0.367 0.669 0.697
0.633 0.331 0.303
0.972 0.669 0.303
0.231 0.231 0.000
0.318 0.500 0.818
0.682 0.500 0.182
0.769 0.769 0.000